1.
Density functional theory data (PBE) for a relaxed SrMg3Tl2 crystal.

Output
- formation enthalpy at 0 K (meV/atom) = -182
- Fermi-level density of states (states/eV/cell) = 5.0
- theoretical density (Mg/m³) = 5.58
- E_tot (eV per atom) = -2.05
- SG = C2/m (12)

Unit cell a=4.7376 b=8.9737 c=9.1722 alpha=114.81 beta=90.00 gamma=105.31
Closest atoms and distances in Å follow each position.
Element x y z (fractional)
Mg (0.9526, 0.9053, 0.6150)  3 Tl 2.97-3.07, 5 Mg 3.19-3.26
Mg (0.3105, 0.6210, 0.5307)  4 Tl 2.92-3.23, 5 Mg 3.05-3.26
Mg (0.6895, 0.3790, 0.4693)  4 Tl 2.92-3.23, 5 Mg 3.05-3.26
Mg (0.0474, 0.0947, 0.3850)  3 Tl 2.97-3.07, 5 Mg 3.19-3.26
Mg (0.5909, 0.1817, 0.6764)  3 Tl 2.90-2.98, 3 Mg 3.06-3.24
Mg (0.4091, 0.8183, 0.3236)  3 Tl 2.90-2.98, 3 Mg 3.06-3.24
Tl (0.4725, 0.9450, 0.8235)  4 Mg 2.90-2.97, 1 Tl 2.95
Tl (0.5275, 0.0550, 0.1765)  4 Mg 2.90-2.97, 1 Tl 2.95
Tl (0.2028, 0.4057, 0.7186)  6 Mg 2.98-3.23
Tl (0.7972, 0.5943, 0.2814)  6 Mg 2.98-3.23
Sr (0.8564, 0.7127, 0.9458)  7 Tl 3.49-3.66
Sr (0.1436, 0.2873, 0.0542)  7 Tl 3.49-3.66

=====

2.
Density functional theory data (PBE) for a relaxed Ac4GeAs2S crystal.

Output
- raw formation energy (eV/atom) = -1.44
- Fermi-level density of states (states/eV/cell) = 1.3
- theoretical density (Mg/m³) = 7.41
- E_tot (eV per atom) = -5.75
- SG = P2/m (10)

Unit cell a=4.5138 b=7.8372 c=7.8081 alpha=70.57 beta=90.00 gamma=90.00
Closest atoms and distances in Å follow each position.
Element x y z (fractional)
Ac (0.0000, 0.7504, 0.7474)  1 Ge 3.18, 3 As 3.18-3.21, 2 S 3.20
Ac (0.5000, 0.7493, 0.2502)  1 S 3.19, 2 Ge 3.19, 3 As 3.20
Ac (0.0000, 0.2496, 0.2526)  1 Ge 3.18, 3 As 3.18-3.21, 2 S 3.20
Ac (0.5000, 0.2507, 0.7498)  1 S 3.19, 2 Ge 3.19, 3 As 3.20
As (0.5000, 0.0000, 0.5000)  6 Ac 3.18-3.20
As (0.0000, 0.0000, 0.0000)  6 Ac 3.20-3.21
Ge (0.0000, 0.5000, 0.5000)  6 Ac 3.18-3.19
S (0.5000, 0.5000, 0.0000)  6 Ac 3.19-3.20

=====

3.
Density functional theory data (PBE) for a relaxed Rb3Er3PtO8 crystal.

Output
- raw formation energy (eV/atom) = -2.31
- Fermi-level density of states (states/eV/cell) = 0.0
- theoretical density (Mg/m³) = 6.89
- E_tot (eV per atom) = -6.46
- SG = R-3m (166)

Unit cell a=6.7638 b=6.7639 c=7.6504 alpha=116.24 beta=90.00 gamma=120.00
Closest atoms and distances in Å follow each position.
Element x y z (fractional)
Rb (0.0000, 0.5000, 0.0000)  6 O 2.90-2.92
Rb (0.0000, 0.0000, 0.0000)  6 O 2.90-2.92
Rb (0.5000, 0.5000, 0.0000)  6 O 2.90-2.92
O (0.2114, 0.9543, 0.6656)  1 Pt 2.13, 2 Er 2.29
O (0.7429, 0.9543, 0.6656)  1 Pt 2.13, 2 Er 2.29
O (0.2571, 0.0457, 0.3344)  1 Pt 2.13, 2 Er 2.29
O (0.2768, 0.5536, 0.3304)  3 Er 2.25
O (0.7886, 0.0457, 0.3344)  1 Pt 2.13, 2 Er 2.29
O (0.2115, 0.4229, 0.6657)  1 Pt 2.13, 2 Er 2.29
O (0.7232, 0.4464, 0.6696)  3 Er 2.25
O (0.7885, 0.5771, 0.3343)  1 Pt 2.13, 2 Er 2.29
Er (0.5000, 0.0000, 0.5000)  6 O 2.25-2.29
Er (0.5000, 0.5000, 0.5000)  6 O 2.25-2.29
Er (0.0000, 0.5000, 0.5000)  6 O 2.25-2.29
Pt (0.0000, 0.0000, 0.5000)  6 O 2.13

=====

4.
Density functional theory data (PBE) for a relaxed Y11In9Pd4 crystal.

Output
- formation enthalpy at 0 K (meV/atom) = -692
- Fermi-level density of states (states/eV/cell) = 15.0
- theoretical density (Mg/m³) = 6.79
- E_tot (eV per atom) = -5.55
- SG = Cmmm (65)

Unit cell a=3.6851 b=13.2486 c=13.2486 alpha=112.79 beta=90.00 gamma=90.00
Closest atoms and distances in Å follow each position.
Element x y z (fractional)
Y (0.0000, 0.0710, 0.4133)  2 Pd 2.86
Y (0.0000, 0.9290, 0.5867)  2 Pd 2.86
Y (0.0000, 0.3718, 0.6282)  4 Pd 2.96
Y (0.0000, 0.1607, 0.8393)  8 In 3.29-3.42, 5 Y 3.55-3.69
Y (0.0000, 0.0000, 0.0000)  8 In 3.22, 2 Y 3.55
Y (0.0000, 0.8393, 0.1607)  8 In 3.29-3.42, 5 Y 3.55-3.69
Y (0.0000, 0.6282, 0.3718)  4 Pd 2.96
Y (0.0000, 0.6926, 0.6926)  4 Pd 2.95
Y (0.0000, 0.5867, 0.9290)  2 Pd 2.86
Y (0.0000, 0.3074, 0.3074)  4 Pd 2.95
Y (0.0000, 0.4133, 0.0710)  2 Pd 2.86
In (0.5000, 0.8430, 0.3680)  1 Pd 3.09, 1 In 3.10, 8 Y 3.25-3.41
In (0.5000, 0.2160, 0.0725)  1 Pd 3.05, 1 In 3.17, 6 Y 3.20-3.41
In (0.5000, 0.5000, 0.5000)  4 Pd 3.16, 8 Y 3.37-3.38
In (0.5000, 0.0725, 0.2160)  1 Pd 3.05, 1 In 3.17, 6 Y 3.20-3.41
In (0.5000, 0.3680, 0.8430)  1 Pd 3.09, 1 In 3.10, 8 Y 3.25-3.41
In (0.5000, 0.7840, 0.9275)  1 Pd 3.05, 1 In 3.17, 6 Y 3.20-3.41
In (0.5000, 0.6320, 0.1570)  1 Pd 3.09, 1 In 3.10, 8 Y 3.25-3.41
In (0.5000, 0.1570, 0.6320)  1 Pd 3.09, 1 In 3.10, 8 Y 3.25-3.41
In (0.5000, 0.9275, 0.7840)  1 Pd 3.05, 1 In 3.17, 6 Y 3.20-3.41
Pd (0.5000, 0.5513, 0.7535)  6 Y 2.86-2.96, 3 In 3.05-3.16
Pd (0.5000, 0.4487, 0.2465)  6 Y 2.86-2.96, 3 In 3.05-3.16
Pd (0.5000, 0.7535, 0.5513)  6 Y 2.86-2.96, 3 In 3.05-3.16
Pd (0.5000, 0.2465, 0.4487)  6 Y 2.86-2.96, 3 In 3.05-3.16

=====

5.
Density functional theory data (PBE) for a relaxed TbHo3In4 crystal.

Output
- formation enthalpy at 0 K (meV/atom) = -302
- E above lowest polymorph (meV/atom) = 155
- Fermi-level density of states (states/eV/cell) = 6.5
- theoretical density (Mg/m³) = 8.12
- E_tot (eV per atom) = -3.97
- SG = Immm (71)

Unit cell a=3.4469 b=7.0589 c=10.1399 alpha=110.36 beta=99.79 gamma=90.00
Closest atoms and distances in Å follow each position.
Element x y z (fractional)
Ho (0.2208, 0.2207, 0.4416)  6 In 3.19-3.22, 2 Ho 3.45
Ho (0.0000, 0.5000, 0.0000)  8 In 3.30, 2 Ho 3.45
Ho (0.7792, 0.7793, 0.5584)  6 In 3.19-3.22, 2 Ho 3.45
In (0.6270, 0.4139, 0.2540)  1 In 3.01, 1 Tb 3.12, 5 Ho 3.19-3.30
In (0.6270, 0.8401, 0.2540)  1 In 3.01, 1 Tb 3.12, 5 Ho 3.19-3.30
In (0.3730, 0.5861, 0.7460)  1 In 3.01, 1 Tb 3.12, 5 Ho 3.19-3.30
In (0.3730, 0.1599, 0.7460)  1 In 3.01, 1 Tb 3.12, 5 Ho 3.19-3.30
Tb (0.5000, 0.0000, 0.0000)  4 In 3.12, 2 Tb 3.45

=====

6.
Density functional theory data (PBE) for a relaxed TbTh2SnN5 crystal.

Output
- raw formation energy (eV/atom) = -1.09
- theoretical density (Mg/m³) = 9.20
- E_tot (eV per atom) = -8.33
- SG = Cmc2_1 (36)

Unit cell a=3.5719 b=7.3292 c=11.5407 alpha=90.00 beta=90.00 gamma=104.10
Closest atoms and distances in Å follow each position.
Element x y z (fractional)
N (0.0669, 0.1338, 0.0400)  2 Sn 2.11
N (0.7142, 0.4284, 0.1420)  3 Th 2.33-2.43, 2 Tb 2.54
N (0.9331, 0.8662, 0.5400)  2 Sn 2.11
N (0.6217, 0.2435, 0.5754)  1 Sn 2.10, 1 Tb 2.31
N (0.3783, 0.7565, 0.0754)  1 Sn 2.10, 1 Tb 2.31
N (0.2807, 0.5613, 0.3429)  3 Th 2.42-2.64, 2 Tb 2.45
N (0.5209, 0.0419, 0.3015)  1 Sn 2.10
N (0.7193, 0.4387, 0.8429)  3 Th 2.42-2.64, 2 Tb 2.45
N (0.2858, 0.5716, 0.6420)  3 Th 2.33-2.43, 2 Tb 2.54
N (0.4791, 0.9581, 0.8015)  1 Sn 2.10
Th (0.8678, 0.7355, 0.2124)  3 N 2.33-2.39
Th (0.1322, 0.2645, 0.7124)  3 N 2.33-2.39
Th (0.8682, 0.7365, 0.7419)  6 N 2.42-2.51
Th (0.1318, 0.2635, 0.2419)  6 N 2.42-2.51
Sn (0.4960, 0.9920, 0.4805)  4 N 2.10-2.11
Sn (0.5040, 0.0080, 0.9805)  4 N 2.10-2.11
Tb (0.7674, 0.5348, 0.4874)  6 N 2.31-2.54
Tb (0.2326, 0.4652, 0.9874)  6 N 2.31-2.54

=====

7.
Density functional theory data (PBE) for a relaxed LiPb2Se crystal.

Output
- raw formation energy (eV/atom) = -0.24
- Fermi-level density of states (states/eV/cell) = 1.8
- theoretical density (Mg/m³) = 7.90
- E_tot (eV per atom) = -3.45
- SG = I4/mmm (139)

Unit cell a=6.1822 b=6.1822 c=6.1822 alpha=137.87 beta=137.87 gamma=61.10
Closest atoms and distances in Å follow each position.
Element x y z (fractional)
Se (0.2500, 0.7500, 0.5000)  4 Li 3.14, 8 Pb 3.47
Pb (0.0000, 0.0000, 0.0000)  4 Pb 3.14, 4 Li 3.47, 4 Se 3.47
Pb (0.5000, 0.5000, 0.0000)  4 Pb 3.14, 4 Li 3.47, 4 Se 3.47
Li (0.7500, 0.2500, 0.5000)  4 Se 3.14, 8 Pb 3.47

=====

8.
Density functional theory data (PBE) for a relaxed Ac4TcBi crystal.

Output
- formation enthalpy at 0 K (meV/atom) = -262
- Fermi-level density of states (states/eV/cell) = 11.1
- theoretical density (Mg/m³) = 9.03
- E_tot (eV per atom) = -5.38
- SG = C2/c (15)

Unit cell a=6.8416 b=8.7028 c=8.7029 alpha=113.80 beta=100.48 gamma=100.48
Closest atoms and distances in Å follow each position.
Element x y z (fractional)
Bi (0.7500, 0.6248, 0.3752)  8 Ac 3.49-3.88
Bi (0.2500, 0.3752, 0.6248)  8 Ac 3.49-3.88
Ac (0.9465, 0.0583, 0.7244)  2 Tc 3.13
Ac (0.1217, 0.3501, 0.2064)  2 Tc 3.18-3.22, 1 Bi 3.49
Ac (0.3783, 0.7936, 0.6499)  2 Tc 3.18-3.22, 1 Bi 3.49
Ac (0.5535, 0.2756, 0.9417)  2 Tc 3.13
Ac (0.6217, 0.2064, 0.3501)  2 Tc 3.18-3.22, 1 Bi 3.49
Ac (0.8783, 0.6499, 0.7936)  2 Tc 3.18-3.22, 1 Bi 3.49
Ac (0.4465, 0.7244, 0.0583)  2 Tc 3.13
Ac (0.0535, 0.9417, 0.2756)  2 Tc 3.13
Tc (0.2500, 0.0012, 0.9988)  8 Ac 3.13-3.22, 2 Tc 3.42
Tc (0.7500, 0.9988, 0.0012)  8 Ac 3.13-3.22, 2 Tc 3.42